# 1
A relaxed structure of Tl2Pd2Br7. Source: Alexandria, functional PBE.

As for the formation energy from raw total energies: -0.386 eV per atom. The calculation puts the energy above the most stable polymorph in this dataset at 71 meV per atom. The calculation puts the magnetization at 0.00 μB/cell. As for the crystal system: monoclinic. As for the electronic total energy: -2.825 eV per atom. The volume is 793 Å³ per cell.

The structure belongs to space group C2/m (No. 12); the cell edges are 8.4102, 15.8737 and 6.0322 Å and the angles 90.00°, 99.94° and 90.00°. Symmetry generates all atoms from Tl at (0.0000, 0.2224, 0.0000), Pd at (0.2265, 0.0000, 0.6403), Br at (0.0000, 0.5000, 0.5000), Br at (0.0589, 0.0000, 0.2316) and Br at (0.2403, 0.1564, 0.6618).


# 2
A relaxed structure of K2Tc. Source: Alexandria, functional PBE.

The value obtained for the formation energy from the elements is 0.65 eV/atom. The calculation puts the energy above the most stable polymorph in this dataset at 0 meV per atom. The calculation puts the magnetization at 0.00 μB/cell. As for the crystal system: orthorhombic. As for the electronic total energy: -3.540 eV per atom. The volume is 465 Å³ per cell.

The structure belongs to space group Cmcm (No. 63); the cell edges are 3.4032, 36.7281 and 3.7213 Å and the angles 90.00°, 90.00° and 90.00°. Symmetry generates all atoms from K at (0.0000, 0.0544, 0.2500), K at (0.0000, 0.3326, 0.2500) and Tc at (0.0000, 0.2503, 0.7500).


# 3
A relaxed structure of TaHg2Cl. Source: Alexandria, functional PBE.

As for the formation energy from raw total energies: 0.288 eV per atom. The calculation puts the energy above the most stable polymorph in this dataset at 429 meV per atom. The calculation puts the magnetization at 0.00 μB/cell. As for the crystal system: tetragonal. As for the electronic total energy: -3.287 eV per atom. The volume is 84 Å³ per cell.

The structure belongs to space group P4/mmm (No. 123); the cell edges are 3.1419, 3.1419 and 8.5202 Å and the angles 90.00°, 90.00° and 90.00°. Symmetry generates all atoms from Ta at (0.0000, 0.0000, 0.0000), Hg at (0.5000, 0.5000, 0.2376) and Cl at (0.0000, 0.0000, 0.5000).


# 4
A relaxed structure of Mg4In3Ni2. Source: Alexandria, functional PBE.

The value obtained for the formation energy from the elements is -0.14 eV/atom. The calculation puts the magnetization at 0.00 μB/cell. As for the crystal system: monoclinic. As for the electronic total energy: -3.050 eV per atom. The volume is 353 Å³ per cell.

The structure belongs to space group C2/m (No. 12); the cell edges are 13.8545, 4.4250 and 5.8086 Å and the angles 90.00°, 97.59° and 90.00°. Symmetry generates all atoms from Mg at (0.0826, 0.0000, 0.3501), Mg at (0.2161, 0.5000, 0.1657), In at (0.0000, 0.5000, 0.0000), In at (0.1460, 0.5000, 0.6570) and Ni at (0.0962, 0.0000, 0.8949).


magnetization of number 3 (TaHg2Cl)?
0.00 μB/cell